<one>
Compound: Rb3PbAu
Source: Alexandria via LeMat-Bulk
Functional: PBE
Structure: relaxed

Cell lengths 8.498, 8.498, 8.876 Å; angles 119.37, 119.37, 79.84 degrees
Element x y z (fractional)
Rb1 0.056 0.056 0.335
Rb2 0.085 0.481 0.245
Rb3 0.481 0.085 0.245
Rb4 0.519 0.915 0.755
Rb5 0.915 0.519 0.755
Rb6 0.944 0.944 0.665
Pb1 0.437 0.437 0.755
Pb2 0.563 0.563 0.245
Au1 0.287 0.287 0.897
Au2 0.713 0.713 0.103

=====

<two>
Compound: Rb3PbAu
Source: Alexandria via LeMat-Bulk
Functional: PBE
Structure: relaxed

Cell lengths 6.541, 6.541, 6.541 Å; angles 90.00, 90.00, 90.00 degrees
Element x y z (fractional)
Rb1 0.000 0.000 0.500
Rb2 0.000 0.500 0.000
Rb3 0.500 0.000 0.000
Pb1 0.500 0.500 0.500
Au1 0.000 0.000 0.000

=====

Least stable = <two>

=====

<one>
Compound: RbPb4Au2
Source: Alexandria via LeMat-Bulk
Functional: PBE
Structure: relaxed

Cell lengths 9.202, 9.202, 5.119 Å; angles 90.00, 90.00, 149.37 degrees
Element x y z (fractional)
Rb1 0.000 0.000 0.000
Pb1 0.179 0.821 0.500
Pb2 0.317 0.683 0.000
Pb3 0.683 0.317 0.000
Pb4 0.821 0.179 0.500
Au1 0.422 0.578 0.500
Au2 0.578 0.422 0.500

=====

<two>
Compound: RbPb4Au2
Source: Alexandria via LeMat-Bulk
Functional: PBE
Structure: relaxed

Cell lengths 9.546, 9.546, 4.739 Å; angles 90.00, 90.00, 90.00 degrees
Element x y z (fractional)
Rb1 0.000 0.000 0.000
Rb2 0.500 0.500 0.500
Pb1 0.076 0.334 0.500
Pb2 0.166 0.576 0.000
Pb3 0.334 0.076 0.500
Pb4 0.424 0.834 0.000
Pb5 0.576 0.166 0.000
Pb6 0.666 0.924 0.500
Pb7 0.834 0.424 0.000
Pb8 0.924 0.666 0.500
Au1 0.217 0.783 0.500
Au2 0.283 0.283 0.000
Au3 0.717 0.717 0.000
Au4 0.783 0.217 0.500

=====

Least stable = <one>

=====

<one>
Compound: Rb3Pb4Au4
Source: Alexandria via LeMat-Bulk
Functional: PBE
Structure: relaxed

Cell lengths 14.781, 14.781, 14.781 Å; angles 160.44, 159.84, 28.24 degrees
Element x y z (fractional)
Rb1 0.000 0.000 0.000
Rb2 0.143 0.643 0.500
Rb3 0.857 0.357 0.500
Pb1 0.249 0.249 0.000
Pb2 0.402 0.902 0.500
Pb3 0.598 0.098 0.500
Pb4 0.751 0.751 0.000
Au1 0.304 0.804 0.500
Au2 0.450 0.450 0.000
Au3 0.550 0.550 0.000
Au4 0.696 0.196 0.500

=====

<two>
Compound: Rb3Pb4Au4
Source: Alexandria via LeMat-Bulk
Functional: PBE
Structure: relaxed

Cell lengths 7.940, 7.940, 7.940 Å; angles 109.47, 109.47, 109.47 degrees
Element x y z (fractional)
Rb1 0.000 0.500 0.500
Rb2 0.500 0.000 0.500
Rb3 0.500 0.500 0.000
Pb1 0.000 0.000 0.276
Pb2 0.000 0.276 0.000
Pb3 0.276 0.000 0.000
Pb4 0.724 0.724 0.724
Au1 0.000 0.000 0.638
Au2 0.000 0.638 0.000
Au3 0.362 0.362 0.362
Au4 0.638 0.000 0.000

=====

Least stable = <one>

=====

<one>
Compound: RbPbAu3
Source: Alexandria via LeMat-Bulk
Functional: PBE
Structure: relaxed

Cell lengths 5.771, 5.771, 5.771 Å; angles 90.00, 90.00, 90.00 degrees
Element x y z (fractional)
Rb1 0.000 0.000 0.000
Pb1 0.500 0.500 0.500
Au1 0.000 0.000 0.500
Au2 0.000 0.500 0.000
Au3 0.500 0.000 0.000

=====

<two>
Compound: RbPbAu3
Source: Alexandria via LeMat-Bulk
Functional: PBE
Structure: relaxed

Cell lengths 5.513, 5.513, 5.513 Å; angles 90.00, 90.00, 90.00 degrees
Element x y z (fractional)
Rb1 0.000 0.000 0.000
Pb1 0.500 0.500 0.500
Au1 0.000 0.500 0.500
Au2 0.500 0.000 0.500
Au3 0.500 0.500 0.000

=====

Least stable = <one>

=====

<one>
Compound: RbPbAuSe2
Source: Alexandria via LeMat-Bulk
Functional: PBE
Structure: relaxed

Cell lengths 8.692, 8.692, 5.851 Å; angles 90.00, 90.00, 128.03 degrees
Element x y z (fractional)
Rb1 0.250 0.750 0.766
Rb2 0.750 0.250 0.234
Pb1 0.250 0.250 0.500
Pb2 0.750 0.750 0.500
Au1 0.000 0.000 0.000
Au2 0.500 0.500 0.000
Se1 0.124 0.876 0.260
Se2 0.376 0.624 0.260
Se3 0.624 0.376 0.740
Se4 0.876 0.124 0.740

=====

<two>
Compound: RbPbAuSe2
Source: Alexandria via LeMat-Bulk
Functional: PBE
Structure: relaxed

Cell lengths 5.384, 5.384, 9.714 Å; angles 90.00, 90.00, 90.00 degrees
Element x y z (fractional)
Rb1 0.000 0.000 0.000
Pb1 0.000 0.000 0.500
Au1 0.500 0.500 0.000
Se1 0.000 0.500 0.500
Se2 0.500 0.000 0.500

=====

Least stable = <two>

=====

<one>
Compound: Re2Pb2Au
Source: Alexandria via LeMat-Bulk
Functional: PBE
Structure: relaxed

Cell lengths 6.936, 6.936, 4.347 Å; angles 90.00, 90.00, 90.00 degrees
Element x y z (fractional)
Re1 0.122 0.378 0.000
Re2 0.378 0.878 0.000
Re3 0.622 0.122 0.000
Re4 0.878 0.622 0.000
Pb1 0.177 0.677 0.500
Pb2 0.323 0.177 0.500
Pb3 0.677 0.823 0.500
Pb4 0.823 0.323 0.500
Au1 0.000 0.000 0.000
Au2 0.500 0.500 0.000

=====

<two>
Compound: Re2Pb2Au
Source: Alexandria via LeMat-Bulk
Functional: PBE
Structure: relaxed

Cell lengths 5.498, 5.498, 5.498 Å; angles 120.57, 120.57, 89.02 degrees
Element x y z (fractional)
Re1 0.144 0.144 0.000
Re2 0.856 0.856 0.000
Pb1 0.250 0.750 0.500
Pb2 0.750 0.250 0.500
Au1 0.500 0.500 0.000

=====

Least stable = <two>

=====

<one>
Compound: RhPbAu
Source: Alexandria via LeMat-Bulk
Functional: PBE
Structure: relaxed

Cell lengths 5.417, 5.417, 5.417 Å; angles 142.62, 142.62, 53.89 degrees
Element x y z (fractional)
Rh1 0.000 0.000 0.000
Pb1 0.656 0.656 0.000
Au1 0.340 0.340 0.000

=====

<two>
Compound: RhPbAu
Source: Alexandria via LeMat-Bulk
Functional: PBE
Structure: relaxed

Cell lengths 4.493, 4.493, 3.409 Å; angles 90.00, 90.00, 120.00 degrees
Element x y z (fractional)
Rh1 0.000 0.000 0.000
Pb1 0.333 0.667 0.762
Au1 0.667 0.333 0.374

=====

Least stable = <two>

=====

<one>
Compound: RhPb4Au
Source: Alexandria via LeMat-Bulk
Functional: PBE
Structure: relaxed

Cell lengths 7.907, 7.907, 6.042 Å; angles 104.74, 104.74, 111.79 degrees
Element x y z (fractional)
Rh1 0.002 0.998 0.750
Rh2 0.998 0.002 0.250
Pb1 0.051 0.705 0.415
Pb2 0.225 0.366 0.191
Pb3 0.295 0.949 0.085
Pb4 0.366 0.225 0.691
Pb5 0.634 0.775 0.309
Pb6 0.705 0.051 0.915
Pb7 0.775 0.634 0.809
Pb8 0.949 0.295 0.585
Au1 0.366 0.634 0.750
Au2 0.634 0.366 0.250

=====

<two>
Compound: RhPb4Au
Source: Alexandria via LeMat-Bulk
Functional: PBE
Structure: relaxed

Cell lengths 6.193, 6.193, 6.193 Å; angles 60.00, 60.00, 60.00 degrees
Element x y z (fractional)
Rh1 0.000 0.000 0.000
Pb1 0.374 0.374 0.374
Pb2 0.374 0.374 0.877
Pb3 0.374 0.877 0.374
Pb4 0.877 0.374 0.374
Au1 0.750 0.750 0.750

=====

Least stable = <two>

=====

<one>
Compound: RuPb2Au
Source: Alexandria via LeMat-Bulk
Functional: PBE
Structure: relaxed

Cell lengths 7.033, 7.033, 7.033 Å; angles 153.99, 142.62, 46.10 degrees
Element x y z (fractional)
Ru1 0.000 0.000 0.000
Pb1 0.509 0.509 0.000
Pb2 0.801 0.301 0.500
Au1 0.183 0.683 0.500

=====

<two>
Compound: RuPb2Au
Source: Alexandria via LeMat-Bulk
Functional: PBE
Structure: relaxed

Cell lengths 4.464, 5.767, 5.767 Å; angles 35.75, 90.00, 90.00 degrees
Element x y z (fractional)
Ru1 0.000 0.000 0.000
Pb1 0.000 0.734 0.734
Pb2 0.500 0.437 0.437
Au1 0.500 0.164 0.164

=====

Least stable = <one>

=====

<one>
Compound: Pb3AuS
Source: Alexandria via LeMat-Bulk
Functional: PBE
Structure: relaxed

Cell lengths 5.522, 5.522, 5.522 Å; angles 90.00, 90.00, 90.00 degrees
Element x y z (fractional)
Pb1 0.000 0.000 0.500
Pb2 0.000 0.500 0.000
Pb3 0.500 0.000 0.000
Au1 0.000 0.000 0.000
S1 0.500 0.500 0.500

=====

<two>
Compound: Pb3AuS
Source: Alexandria via LeMat-Bulk
Functional: PBE
Structure: relaxed

Cell lengths 5.482, 5.482, 5.482 Å; angles 90.00, 90.00, 90.00 degrees
Element x y z (fractional)
Pb1 0.000 0.000 0.500
Pb2 0.000 0.500 0.000
Pb3 0.500 0.000 0.000
Au1 0.500 0.500 0.500
S1 0.000 0.000 0.000

=====

Least stable = <one>

=====

<one>
Compound: PbAuS
Source: Alexandria via LeMat-Bulk
Functional: PBE
Structure: relaxed

Cell lengths 11.404, 3.945, 6.588 Å; angles 90.00, 90.00, 90.00 degrees
Element x y z (fractional)
Pb1 0.061 0.250 0.226
Pb2 0.439 0.750 0.726
Pb3 0.561 0.250 0.274
Pb4 0.939 0.750 0.774
Au1 0.190 0.750 0.971
Au2 0.310 0.250 0.471
Au3 0.690 0.750 0.529
Au4 0.810 0.250 0.029
S1 0.172 0.750 0.588
S2 0.328 0.250 0.088
S3 0.672 0.750 0.912
S4 0.828 0.250 0.412

=====

<two>
Compound: PbAuS
Source: Alexandria via LeMat-Bulk
Functional: PBE
Structure: relaxed

Cell lengths 4.085, 4.085, 4.859 Å; angles 90.00, 90.00, 120.00 degrees
Element x y z (fractional)
Pb1 0.000 0.000 0.000
Au1 0.333 0.667 0.356
S1 0.667 0.333 0.591

=====

Least stable = <one>

=====

<one>
Compound: Sb3Pb2Au4
Source: Alexandria via LeMat-Bulk
Functional: PBE
Structure: relaxed

Cell lengths 9.362, 9.362, 5.611 Å; angles 93.36, 93.36, 87.36 degrees
Element x y z (fractional)
Sb1 0.186 0.814 0.750
Sb2 0.299 0.445 0.440
Sb3 0.445 0.299 0.940
Sb4 0.555 0.701 0.060
Sb5 0.701 0.555 0.560
Sb6 0.814 0.186 0.250
Pb1 0.033 0.334 0.890
Pb2 0.334 0.033 0.390
Pb3 0.666 0.967 0.610
Pb4 0.967 0.666 0.110
Au1 0.086 0.249 0.396
Au2 0.249 0.086 0.896
Au3 0.276 0.552 0.954
Au4 0.448 0.724 0.546
Au5 0.552 0.276 0.454
Au6 0.724 0.448 0.046
Au7 0.751 0.914 0.104
Au8 0.914 0.751 0.604

=====

<two>
Compound: Sb3Pb2Au4
Source: Alexandria via LeMat-Bulk
Functional: PBE
Structure: relaxed

Cell lengths 8.713, 8.713, 7.342 Å; angles 90.00, 90.00, 125.37 degrees
Element x y z (fractional)
Sb1 0.000 0.000 0.000
Sb2 0.018 0.482 0.250
Sb3 0.482 0.018 0.750
Sb4 0.500 0.500 0.500
Sb5 0.518 0.982 0.250
Sb6 0.982 0.518 0.750
Pb1 0.101 0.899 0.413
Pb2 0.399 0.601 0.913
Pb3 0.601 0.399 0.087
Pb4 0.899 0.101 0.587
Au1 0.190 0.810 0.026
Au2 0.201 0.299 0.250
Au3 0.299 0.201 0.750
Au4 0.310 0.690 0.526
Au5 0.690 0.310 0.474
Au6 0.701 0.799 0.250
Au7 0.799 0.701 0.750
Au8 0.810 0.190 0.974

=====

Least stable = <two>